## Na2Cr2CoS6 (PBE)

Data for a relaxed Na2Cr2CoS6 crystal.

The structure belongs to space group C2/m (No. 12); the cell edges are 6.0247, 10.1400 and 6.9784 Å and the angles 90.00°, 105.61° and 90.00°. The distinct sites, in fractional coordinates, are Na at (0.0000, 0.1765, 0.0000), Cr at (0.0000, 0.3424, 0.5000), Co at (0.0000, 0.0000, 0.5000), S at (0.2190, 0.1624, 0.6863) and S at (0.2497, 0.0000, 0.3047).

For the final energy, the calculation gives -5.629 eV/atom. The raw formation energy comes out at -0.74 eV per atom. The volume is 18.66 Å³ per atom. The value obtained for the total moment is 0.45 μB per atom.